Record 1
Density functional theory data (GGA-PBE) for KThNp after structural relaxation.

Calculated values
* uncorrected energy: -5.311 eV/atom

```
data_KThNp
_chemical_formula_sum 'K4 Th4 Np4'
_space_group_name_H-M_alt 'F -4 3 m'
_space_group_IT_number 216
_space_group_name_Hall 'F -4 2 3'
_cell_length_a 7.846
_cell_length_b 7.846
_cell_length_c 7.846
_cell_angle_alpha 90.00
_cell_angle_beta 90.00
_cell_angle_gamma 90.00
loop_
_atom_site_label
_atom_site_fract_x
_atom_site_fract_y
_atom_site_fract_z
K1 0.000 0.000 0.000
Th1 0.000 0.000 0.500
Np1 0.250 0.250 0.250
```



Record 2
Density functional theory data (GGA-PBE) for K2OsO3 after structural relaxation.

Calculated values
* uncorrected energy: -5.999 eV/atom
* energy above the most stable polymorph in this dataset: 0.000 eV/atom

```
data_K2OsO3
_chemical_formula_sum 'K4 Os2 O6'
_space_group_name_H-M_alt 'P -3'
_space_group_IT_number 147
_cell_length_a 6.4017
_cell_length_b 6.4017
_cell_length_c 7.0386
_cell_angle_alpha 90.00
_cell_angle_beta 90.00
_cell_angle_gamma 120.00
loop_
_space_group_symop_operation_xyz
'x,y,z'
'-x,-y,-z'
'-y,x-y,z'
'y,-x+y,-z'
'-x+y,-x,z'
'x-y,x,-z'
loop_
_atom_site_label
_atom_site_fract_x
_atom_site_fract_y
_atom_site_fract_z
K1 0.0000 0.0000 0.0000
K2 0.0000 0.0000 0.5000
K3 0.3333 0.6667 0.2468
Os1 0.3333 0.6667 0.7495
O1 0.0966 0.7402 0.7497
```



Which value of uncorrected energy does entry 2 give? -5.999 eV/atom